[1]
PaGaHg | PBE | relaxed

Calculated values
* symmetry: P-6m2
* offset from the most stable computed form: 0 meV/atom
* N(E_F): 3.4 states/eV/f.u.
* E_form: -27 kJ/mol of formula units

abc: 3.1828 4.8957 4.8957
angles: 120.00 90.00 90.00
Site moments in Bohr magnetons follow the coordinates.
Fractional coordinates of all 3 atoms:
Hg (0.1672, 0.6667, 0.3333)  0.01
Pa (0.6668, 0.3333, 0.6667)  0.80
Ga (0.1660, 0.0000, 0.0000)  0.00

[2]
SmPaGaHg | PBE | relaxed

Calculated values
* symmetry: F-43m
* N(E_F): 7.5 states/eV/f.u.
* E_form: -50 kJ/mol of formula units

abc: 5.2227 5.2227 5.2227
angles: 60.00 60.00 60.00
Site moments in Bohr magnetons follow the coordinates.
Fractional coordinates of all 4 atoms:
Ga (0.5000, 0.5000, 0.5000)  0.01
Pa (0.7500, 0.7500, 0.7500)  0.73
Sm (0.2500, 0.2500, 0.2500)  0.04
Hg (0.0000, 0.0000, 0.0000)  0.01

[3]
PaZnGaHg | PBE | relaxed

Calculated values
* symmetry: F-43m
* N(E_F): 2.6 states/eV/f.u.
* E_form: 1 kJ/mol of formula units

abc: 4.9245 4.9245 4.9245
angles: 60.00 60.00 60.00
Fractional coordinates of all 4 atoms:
Hg (0.5000, 0.5000, 0.5000)
Zn (0.2500, 0.2500, 0.2500)
Pa (0.7500, 0.7500, 0.7500)
Ga (0.0000, 0.0000, 0.0000)

[4]
GaHg5Pb6 | PBE | relaxed

Calculated values
* symmetry: C2/m
* N(E_F): 3.5 states/eV/f.u.
* E_form: 55 kJ/mol of formula units

abc: 6.1847 11.2040 7.5145
angles: 127.30 99.13 109.83
Fractional coordinates of all 12 atoms:
Hg (0.0000, 0.5000, 0.0000)
Hg (0.3435, 0.8435, 0.6871)
Hg (0.6794, 0.6794, 0.3587)
Hg (0.6565, 0.1565, 0.3129)
Hg (0.3206, 0.3206, 0.6413)
Pb (0.4879, 0.2550, 0.0000)
Pb (0.1579, 0.4142, 0.3310)
Pb (0.5121, 0.7450, 0.0000)
Pb (0.1731, 0.9168, 0.3310)
Pb (0.8421, 0.5858, 0.6690)
Pb (0.8269, 0.0832, 0.6690)
Ga (0.0000, 0.0000, 0.0000)

[5]
GaHg2Pb5 | PBE | relaxed

Calculated values
* symmetry: Cmcm
* N(E_F): 4.8 states/eV/f.u.
* E_form: 36 kJ/mol of formula units

abc: 3.5665 7.0704 18.8627
angles: 90.00 90.00 104.61
Fractional coordinates of all 16 atoms:
Pb (0.9742, 0.9483, 0.6205)
Pb (0.3611, 0.7222, 0.0157)
Pb (0.4045, 0.8091, 0.2500)
Pb (0.6389, 0.2778, 0.5157)
Pb (0.6389, 0.2778, 0.9843)
Pb (0.5955, 0.1909, 0.7500)
Pb (0.3611, 0.7222, 0.4843)
Pb (0.0258, 0.0517, 0.1205)
Pb (0.0258, 0.0517, 0.3795)
Pb (0.9742, 0.9483, 0.8795)
Hg (0.2481, 0.4961, 0.6426)
Hg (0.2481, 0.4961, 0.8574)
Hg (0.7519, 0.5039, 0.1426)
Hg (0.7519, 0.5039, 0.3574)
Ga (0.1628, 0.3256, 0.2500)
Ga (0.8372, 0.6744, 0.7500)

[6]
Ga5Hg3Pb12 | PBE | relaxed

Calculated values
* symmetry: Ia-3d
* N(E_F): 11.8 states/eV/f.u.
* E_form: 365 kJ/mol of formula units

abc: 15.0244 15.0244 15.0244
angles: 109.47 109.47 109.47
Fractional coordinates of all 80 atoms:
Pb (0.7740, 0.4446, 0.3737)
Pb (0.8294, 0.9004, 0.2740)
Pb (0.9291, 0.0996, 0.8737)
Pb (0.2740, 0.4004, 0.8294)
Pb (0.5709, 0.6263, 0.4004)
Pb (0.1263, 0.4004, 0.0709)
Pb (0.8294, 0.9291, 0.0554)
Pb (0.4291, 0.0554, 0.3294)
Pb (0.9291, 0.8294, 0.5554)
Pb (0.1706, 0.0709, 0.9446)
Pb (0.2260, 0.6706, 0.0996)
Pb (0.3294, 0.5554, 0.4291)
Pb (0.5996, 0.7260, 0.6706)
Pb (0.5554, 0.2260, 0.1263)
Pb (0.0554, 0.4291, 0.8294)
Pb (0.4291, 0.3737, 0.5996)
Pb (0.9446, 0.5709, 0.1706)
Pb (0.4446, 0.7740, 0.8737)
Pb (0.9004, 0.8294, 0.7740)
Pb (0.7260, 0.1263, 0.0554)
Pb (0.0554, 0.6263, 0.7260)
Pb (0.9004, 0.0709, 0.6263)
Pb (0.1706, 0.0996, 0.7260)
Pb (0.7260, 0.5996, 0.1706)
Pb (0.2740, 0.8737, 0.9446)
Pb (0.6706, 0.4446, 0.5709)
Pb (0.4446, 0.6706, 0.0709)
Pb (0.6263, 0.0554, 0.2260)
Pb (0.0709, 0.9004, 0.1263)
Pb (0.3294, 0.7740, 0.4004)
Pb (0.0996, 0.9291, 0.3737)
Pb (0.0709, 0.1706, 0.4446)
Pb (0.8737, 0.5996, 0.9291)
Pb (0.9446, 0.3737, 0.2740)
Pb (0.2260, 0.5554, 0.6263)
Pb (0.5996, 0.8737, 0.4291)
Pb (0.7740, 0.3294, 0.9004)
Pb (0.5554, 0.3294, 0.9291)
Pb (0.3737, 0.4291, 0.0996)
Pb (0.1263, 0.7260, 0.5554)
Pb (0.0996, 0.1706, 0.2260)
Pb (0.8737, 0.2740, 0.4446)
Pb (0.3737, 0.9446, 0.7740)
Pb (0.4004, 0.1263, 0.5709)
Pb (0.6706, 0.2260, 0.5996)
Pb (0.6263, 0.5709, 0.9004)
Pb (0.4004, 0.2740, 0.3294)
Pb (0.5709, 0.9446, 0.6706)
Ga (0.0000, 0.0000, 0.0000)
Ga (0.3750, 0.2500, 0.1250)
Ga (0.2500, 0.3750, 0.6250)
Ga (0.5000, 0.5000, 0.0000)
Ga (0.0000, 0.0000, 0.5000)
Ga (0.3750, 0.1250, 0.7500)
Ga (0.0000, 0.5000, 0.0000)
Ga (0.1250, 0.3750, 0.2500)
Ga (0.5000, 0.5000, 0.5000)
Ga (0.5000, 0.0000, 0.0000)
Ga (0.0000, 0.5000, 0.5000)
Ga (0.2500, 0.8750, 0.1250)
Ga (0.6250, 0.8750, 0.2500)
Ga (0.5000, 0.0000, 0.5000)
Ga (0.7500, 0.6250, 0.3750)
Ga (0.8750, 0.2500, 0.6250)
Ga (0.6250, 0.7500, 0.8750)
Ga (0.7500, 0.1250, 0.8750)
Ga (0.8750, 0.6250, 0.7500)
Ga (0.1250, 0.7500, 0.3750)
Hg (0.2500, 0.1250, 0.3750)
Hg (0.2500, 0.6250, 0.8750)
Hg (0.6250, 0.3750, 0.7500)
Hg (0.1250, 0.8750, 0.7500)
Hg (0.7500, 0.3750, 0.1250)
Hg (0.7500, 0.8750, 0.6250)
Hg (0.1250, 0.2500, 0.8750)
Hg (0.8750, 0.1250, 0.2500)
Hg (0.8750, 0.7500, 0.1250)
Hg (0.6250, 0.2500, 0.3750)
Hg (0.3750, 0.7500, 0.6250)
Hg (0.3750, 0.6250, 0.2500)

[7]
Ga3HgPb | PBE | relaxed

Calculated values
* symmetry: Pm-3m
* offset from the most stable computed form: 0 meV/atom
* N(E_F): 4.9 states/eV/f.u.
* E_form: 202 kJ/mol of formula units

abc: 5.2298 5.2298 5.2298
angles: 90.00 90.00 90.00
Fractional coordinates of all 5 atoms:
Ga (0.0000, 0.0000, 0.5000)
Ga (0.0000, 0.5000, 0.0000)
Ga (0.5000, 0.0000, 0.0000)
Hg (0.0000, 0.0000, 0.0000)
Pb (0.5000, 0.5000, 0.5000)

[8]
Ga2Hg3Pb | PBE | relaxed

Calculated values
* symmetry: C2/m
* N(E_F): 2.3 states/eV/f.u.
* E_form: 36 kJ/mol of formula units

abc: 3.4567 8.4178 10.5257
angles: 99.06 99.45 90.00
Fractional coordinates of all 12 atoms:
Pb (0.1176, 0.0680, 0.2352)
Pb (0.8824, 0.9320, 0.7648)
Ga (0.4917, 0.1639, 0.9834)
Ga (0.7579, 0.1348, 0.5158)
Ga (0.2421, 0.8652, 0.4842)
Ga (0.5083, 0.8361, 0.0166)
Hg (0.6934, 0.4074, 0.3867)
Hg (0.6316, 0.7177, 0.2632)
Hg (0.3066, 0.5926, 0.6133)
Hg (0.3684, 0.2823, 0.7368)
Hg (0.9399, 0.5753, 0.8799)
Hg (0.0601, 0.4247, 0.1201)

[9]
Ga2HgPb6 | PBE | relaxed

Calculated values
* symmetry: C2/c
* N(E_F): 3.7 states/eV/f.u.
* E_form: 46 kJ/mol of formula units

abc: 9.9249 9.9249 6.0453
angles: 81.99 81.99 61.97
Fractional coordinates of all 18 atoms:
Pb (0.8242, 0.9888, 0.6918)
Pb (0.3238, 0.4887, 0.1928)
Pb (0.4400, 0.9397, 0.7788)
Pb (0.4887, 0.3238, 0.6928)
Pb (0.9397, 0.4400, 0.2788)
Pb (0.0112, 0.1758, 0.8082)
Pb (0.5600, 0.0603, 0.2212)
Pb (0.9888, 0.8242, 0.1918)
Pb (0.1758, 0.0112, 0.3082)
Pb (0.0603, 0.5600, 0.7212)
Pb (0.6762, 0.5113, 0.8072)
Pb (0.5113, 0.6762, 0.3072)
Ga (0.7480, 0.7523, 0.5001)
Ga (0.2477, 0.2520, 0.9999)
Ga (0.7523, 0.7480, 0.0001)
Ga (0.2520, 0.2477, 0.4999)
Hg (0.7492, 0.2508, 0.2500)
Hg (0.2508, 0.7492, 0.7500)

[10]
Ga2Hg4Pb3 | PBE | relaxed

Calculated values
* symmetry: P-1
* N(E_F): 3.5 states/eV/f.u.
* E_form: 41 kJ/mol of formula units

abc: 3.5705 7.3354 9.3929
angles: 88.64 91.06 76.03
Fractional coordinates of all 9 atoms:
Pb (0.0000, 0.0000, 0.0000)
Pb (0.3747, 0.2522, 0.2596)
Pb (0.6253, 0.7478, 0.7404)
Hg (0.9419, 0.1135, 0.6348)
Hg (0.6882, 0.6280, 0.0985)
Hg (0.3118, 0.3720, 0.9015)
Hg (0.0581, 0.8865, 0.3652)
Ga (0.2846, 0.4298, 0.5996)
Ga (0.7154, 0.5702, 0.4004)

[11]
GaHg4Pb2 | PBE | relaxed

Calculated values
* symmetry: I4/mmm
* offset from the most stable computed form: 103 meV/atom
* N(E_F): 2.1 states/eV/f.u.
* E_form: 102 kJ/mol of formula units

abc: 5.4094 5.4094 8.5478
angles: 108.45 108.45 90.00
Fractional coordinates of all 7 atoms:
Ga (0.0000, 0.0000, 0.0000)
Hg (0.1848, 0.1848, 0.3695)
Hg (0.5000, 0.0000, 0.0000)
Hg (0.8152, 0.8152, 0.6305)
Hg (0.0000, 0.5000, 0.0000)
Pb (0.6160, 0.6160, 0.2319)
Pb (0.3840, 0.3840, 0.7681)

[12]
Ga12Hg3Pb5 | PBE | relaxed

Calculated values
* symmetry: Ia-3d
* N(E_F): 13.7 states/eV/f.u.
* E_form: 433 kJ/mol of formula units

abc: 14.2415 14.2415 14.2415
angles: 109.47 109.47 109.47
Fractional coordinates of all 80 atoms:
Ga (0.0982, 0.9321, 0.3580)
Ga (0.0679, 0.9018, 0.1420)
Ga (0.1420, 0.4018, 0.0679)
Ga (0.9259, 0.5679, 0.1661)
Ga (0.3339, 0.7598, 0.4018)
Ga (0.3339, 0.5741, 0.4321)
Ga (0.3580, 0.9259, 0.7598)
Ga (0.6661, 0.2402, 0.5982)
Ga (0.7402, 0.1420, 0.0741)
Ga (0.9321, 0.0982, 0.8580)
Ga (0.1661, 0.0982, 0.7402)
Ga (0.4321, 0.3580, 0.5982)
Ga (0.2402, 0.6661, 0.0982)
Ga (0.2402, 0.5741, 0.6420)
Ga (0.0741, 0.6420, 0.7402)
Ga (0.9018, 0.8339, 0.7598)
Ga (0.7402, 0.5982, 0.1661)
Ga (0.5982, 0.7402, 0.6661)
Ga (0.8339, 0.9018, 0.2598)
Ga (0.9321, 0.8339, 0.5741)
Ga (0.1661, 0.0679, 0.9259)
Ga (0.1420, 0.7402, 0.5741)
Ga (0.4018, 0.2598, 0.3339)
Ga (0.8580, 0.5982, 0.9321)
Ga (0.7598, 0.4259, 0.3580)
Ga (0.0982, 0.1661, 0.2402)
Ga (0.5741, 0.2402, 0.1420)
Ga (0.2598, 0.4018, 0.8339)
Ga (0.9018, 0.0679, 0.6420)
Ga (0.6661, 0.4259, 0.5679)
Ga (0.6420, 0.5679, 0.9018)
Ga (0.8339, 0.9321, 0.0741)
Ga (0.2598, 0.8580, 0.9259)
Ga (0.6420, 0.0741, 0.2402)
Ga (0.0741, 0.4321, 0.8339)
Ga (0.5679, 0.9259, 0.6661)
Ga (0.8580, 0.2598, 0.4259)
Ga (0.5982, 0.8580, 0.4321)
Ga (0.7598, 0.3339, 0.9018)
Ga (0.4259, 0.7598, 0.8580)
Ga (0.4259, 0.6661, 0.0679)
Ga (0.4321, 0.0741, 0.3339)
Ga (0.0679, 0.1661, 0.4259)
Ga (0.3580, 0.4321, 0.0982)
Ga (0.4018, 0.1420, 0.5679)
Ga (0.9259, 0.3580, 0.2598)
Ga (0.5741, 0.3339, 0.9321)
Ga (0.5679, 0.6420, 0.4018)
Pb (0.3750, 0.1250, 0.7500)
Pb (0.5000, 0.0000, 0.5000)
Pb (0.0000, 0.0000, 0.5000)
Pb (0.8750, 0.6250, 0.7500)
Pb (0.7500, 0.6250, 0.3750)
Pb (0.1250, 0.7500, 0.3750)
Pb (0.7500, 0.1250, 0.8750)
Pb (0.8750, 0.2500, 0.6250)
Pb (0.6250, 0.7500, 0.8750)
Pb (0.3750, 0.2500, 0.1250)
Pb (0.1250, 0.3750, 0.2500)
Pb (0.5000, 0.0000, 0.0000)
Pb (0.2500, 0.3750, 0.6250)
Pb (0.5000, 0.5000, 0.0000)
Pb (0.0000, 0.5000, 0.5000)
Pb (0.2500, 0.8750, 0.1250)
Pb (0.5000, 0.5000, 0.5000)
Pb (0.6250, 0.8750, 0.2500)
Pb (0.0000, 0.0000, 0.0000)
Pb (0.0000, 0.5000, 0.0000)
Hg (0.2500, 0.1250, 0.3750)
Hg (0.2500, 0.6250, 0.8750)
Hg (0.6250, 0.3750, 0.7500)
Hg (0.7500, 0.3750, 0.1250)
Hg (0.1250, 0.8750, 0.7500)
Hg (0.8750, 0.7500, 0.1250)
Hg (0.6250, 0.2500, 0.3750)
Hg (0.3750, 0.7500, 0.6250)
Hg (0.7500, 0.8750, 0.6250)
Hg (0.1250, 0.2500, 0.8750)
Hg (0.3750, 0.6250, 0.2500)
Hg (0.8750, 0.1250, 0.2500)

[13]
GaHg3Pb | PBE | relaxed

Calculated values
* symmetry: Pm-3m
* offset from the most stable computed form: 359 meV/atom
* N(E_F): 3.3 states/eV/f.u.
* E_form: 198 kJ/mol of formula units

abc: 5.8629 5.8629 5.8629
angles: 90.00 90.00 90.00
Fractional coordinates of all 5 atoms:
Hg (0.0000, 0.5000, 0.0000)
Hg (0.0000, 0.0000, 0.5000)
Hg (0.5000, 0.0000, 0.0000)
Ga (0.5000, 0.5000, 0.5000)
Pb (0.0000, 0.0000, 0.0000)

[14]
GaHgPb2 | PBE | relaxed

Calculated values
* symmetry: I-42d
* N(E_F): 2.6 states/eV/f.u.
* E_form: 58 kJ/mol of formula units

abc: 4.5248 4.5248 11.7203
angles: 78.87 78.87 90.00
Fractional coordinates of all 8 atoms:
Hg (0.7500, 0.2500, 0.5000)
Hg (0.0000, 0.0000, 0.0000)
Pb (0.8750, 0.8739, 0.7500)
Pb (0.3750, 0.3761, 0.7500)
Pb (0.6239, 0.1250, 0.2500)
Pb (0.1261, 0.6250, 0.2500)
Ga (0.5000, 0.5000, 0.0000)
Ga (0.2500, 0.7500, 0.5000)